No. 1
## Dy3Tl6Br14 (PBE)

Data for an optimized crystal structure of Dy3Tl6Br14.

Values from the calculation:
uncorrected formation energy: -1.259 eV/atom
spin magnetization: 0.000 μB/atom
crystal system: trigonal
Fermi-level density of states: 0.366 states/eV per atom
uncorrected energy: -3.50 eV per atom

Cell lengths 12.0186, 12.0186, 7.3324 Å; angles 90.00, 90.00, 120.00 degrees
Closest atoms and distances in Å follow each position.
Space group P3 (No. 143)
Inequivalent atoms, fractional coordinates:
Dy: 0.0000 0.0000 0.0000  4 Br 2.67-2.68
Dy: 0.3333 0.6667 0.4623  4 Br 2.66-2.68
Dy: 0.6667 0.3333 0.3659  6 Br 2.83-2.84
Tl: 0.0139 0.5350 0.0210  5 Br 3.27-3.64
Tl: 0.3056 0.0952 0.5743  7 Br 3.30-3.64
Br: 0.0000 0.0000 0.3649  1 Dy 2.68
Br: 0.0754 0.8457 0.8528  1 Dy 2.67
Br: 0.1916 0.4328 0.3213  1 Dy 2.66
Br: 0.3333 0.6667 0.8278  1 Dy 2.68
Br: 0.4446 0.2011 0.1441  1 Dy 2.84
Br: 0.5237 0.4122 0.5828  1 Dy 2.83

No. 2
## NbRuW (PBE)

Data for an optimized crystal structure of NbRuW.

Values from the calculation:
spin magnetization: 0.000 μB/atom
crystal system: tetragonal
relative energy among the computed polymorphs: 0.075 eV per atom
Fermi-level density of states: 1.193 states/eV per atom
uncorrected energy: -10.72 eV per atom

Cell lengths 2.8915, 2.8915, 11.7561 Å; angles 90.00, 90.00, 90.00 degrees
Closest atoms and distances in Å follow each position.
Space group I4mm (No. 107)
Inequivalent atoms, fractional coordinates:
Nb: 0.0000 0.0000 0.0000  4 Ru 2.87, 4 Nb 2.89, 4 W 3.02
Ru: 0.0000 0.0000 0.3287  4 W 2.62, 4 Nb 2.87, 4 Ru 2.89
W: 0.0000 0.0000 0.6892  4 Ru 2.62, 4 W 2.89

No. 3
## CoCu3Se (PBE)

Data for an optimized crystal structure of CoCu3Se.

Values from the calculation:
uncorrected formation energy: 0.940 eV/atom
spin magnetization: 0.398 μB/atom
crystal system: cubic
relative energy among the computed polymorphs: 0.000 eV per atom
Fermi-level density of states: 0.830 states/eV per atom
uncorrected energy: -3.64 eV per atom

Cell lengths 4.4233, 4.4233, 4.4233 Å; angles 90.00, 90.00, 90.00 degrees
Closest atoms and distances in Å follow each position.
Space group Pm-3m (No. 221)
Inequivalent atoms, fractional coordinates:
Co: 0.0000 0.0000 0.0000  6 Cu 2.21
Cu: 0.0000 0.0000 0.5000  2 Co 2.21
Se: 0.5000 0.5000 0.5000  12 Cu 3.13